No. 1
This record from the Alexandria database describes an optimized crystal structure of BaScBe2Co. The functional is PBE.

* formation enthalpy at 0 K: 1.863 eV per atom

Cell and atoms, written as CIF:
```
data_BaScBe2Co
_chemical_formula_sum 'Ba1 Sc1 Be2 Co1'
_cell_length_a 4.786
_cell_length_b 4.786
_cell_length_c 5.871
_cell_angle_alpha 90.00
_cell_angle_beta 90.00
_cell_angle_gamma 90.00
_symmetry_space_group_name_H-M 'P 4/m m m'
_symmetry_Int_Tables_number 123
_symmetry_space_group_name_Hall '-P 4 2'
loop_
_atom_site_label
_atom_site_type_symbol
_atom_site_fract_x
_atom_site_fract_y
_atom_site_fract_z
Ba1 Ba 0.000 0.000 0.000
Sc1 Sc 0.000 0.000 0.500
Be1 Be 0.000 0.500 0.500
Co1 Co 0.500 0.500 0.000
```

No. 2
This record from the Alexandria database describes an optimized crystal structure of YSiGe. The functional is PBE.

* offset from the most stable computed form: 121.9 meV per atom
* E_form (uncorrected): -466 meV per atom

Cell and atoms, written as CIF:
```
data_YSiGe
_chemical_formula_sum 'Y1 Si1 Ge1'
_cell_length_a 4.2936
_cell_length_b 4.2936
_cell_length_c 3.8764
_cell_angle_alpha 90.00
_cell_angle_beta 90.00
_cell_angle_gamma 120.00
_symmetry_space_group_name_H-M 'P -6 m 2'
_symmetry_Int_Tables_number 187
_symmetry_space_group_name_Hall 'P -6 2'
loop_
_atom_site_label
_atom_site_type_symbol
_atom_site_fract_x
_atom_site_fract_y
_atom_site_fract_z
Y1 Y 0.0000 0.0000 0.0000
Si1 Si 0.3333 0.6667 0.5000
Ge1 Ge 0.6667 0.3333 0.5000
```

Respective total DFT energy (no corrections) values: -2.70 -5.97 eV per atom.
Respective density of states at the Fermi level values: 8.125 2.349 states/eV/f.u..
Respective magnetic moment values: 0.06 0.00 Bohr magnetons per cell.